The following is a PBE calculation of a relaxed ReHg2 crystal, from Alexandria via LeMat-Bulk.

Results
**E_form**: 1.04 eV per atom
**DOS(E_F)**: 3.29 states/eV/f.u.
**Volume**: 19.61 Å³/atom
**Total moment**: 0.0 μB/f.u.

Cell and atoms, written as CIF:
```
data_ReHg2
_cell_length_a 8.4597
_cell_length_b 8.4597
_cell_length_c 2.8476
_cell_angle_alpha 90.00
_cell_angle_beta 90.00
_cell_angle_gamma 120.00
_space_group_name_H-M_alt 'P -6 2 m'
_space_group_IT_number 189
_space_group_name_Hall 'P -6 -2'
loop_
_atom_site_label
_atom_site_fract_x
_atom_site_fract_y
_atom_site_fract_z
Re1 0.0000 0.0000 0.0000
Re2 0.3333 0.6667 0.5000
Hg1 0.0000 0.2853 0.5000
Hg2 0.0000 0.6049 0.0000
```